Mn2FeO6, relaxed, DFT PBE+U; total energy = -60.55 eV per formula unit; relative energy among the computed polymorphs = 0.0190 eV/atom; magnetization = 16.0 μB per cell
1.0
-2.9879 1.8550 -3.6475
-1.9797 -2.6733 3.8220
-1.2112 8.4843 5.3069
Mn Fe O
4 2 12
Direct
0.3328 0.6672 0.0000
0.1672 0.8328 0.5000
0.8328 0.1672 0.5000
0.6672 0.3328 0.0000
0.5000 0.5000 0.5000
0.0000 0.0000 0.0000
0.1668 0.5013 0.5953
0.8332 0.4987 0.4047
0.0013 0.6668 0.9047
0.3332 0.9987 0.0953
0.6708 0.6708 0.0949
0.8292 0.8292 0.5949
0.1708 0.1708 0.4051
0.4987 0.8332 0.4047
0.3292 0.3292 0.9051
0.6668 0.0013 0.9047
0.9987 0.3332 0.0953
0.5013 0.1668 0.5953